No. 1
Here is Sc2TlSb after structural relaxation from Alexandria. Energies are from PBE.

```
Sc2TlSb
1.0
7.865 0.000 0.000
0.000 7.865 0.000
0.000 0.000 6.656
Sc Tl Sb
8 4 4
direct
0.243 0.250 0.125
0.250 0.743 0.375
0.250 0.757 0.875
0.257 0.250 0.625
0.743 0.750 0.625
0.750 0.243 0.875
0.750 0.257 0.375
0.757 0.750 0.125
0.000 0.000 0.500
0.000 0.500 0.750
0.500 0.000 0.250
0.500 0.500 0.000
0.000 0.000 0.000
0.000 0.500 0.250
0.500 0.000 0.750
0.500 0.500 0.500
```

Properties
Space-group type: I-42d, No. 122
Formation energy from raw total energies: -119 kJ/mol of formula units

---

No. 2
Here is NdAgRh after structural relaxation from Alexandria. Energies are from PBE.

```
NdAgRh
1.0
3.646 0.000 0.000
0.000 3.646 0.000
0.000 0.000 9.561
Nd Ag Rh
2 2 2
direct
0.000 0.000 0.000
0.500 0.500 0.500
0.000 0.000 0.689
0.500 0.500 0.189
0.000 0.000 0.344
0.500 0.500 0.844
```

Properties
Space-group type: I4mm, No. 107
Calculated formation energy: -27 kJ/mol of atoms

---

No. 3
Here is Ca3P2Rh2 after structural relaxation from Alexandria. Energies are from PBE.

```
Ca3P2Rh2
1.0
5.573 0.000 0.000
0.000 7.804 0.000
0.000 0.000 12.965
Ca P Rh
12 8 8
direct
0.128 0.119 0.106
0.128 0.119 0.394
0.128 0.381 0.606
0.128 0.381 0.894
0.366 0.739 0.750
0.366 0.761 0.250
0.634 0.239 0.750
0.634 0.261 0.250
0.872 0.619 0.106
0.872 0.619 0.394
0.872 0.881 0.606
0.872 0.881 0.894
0.155 0.091 0.750
0.155 0.409 0.250
0.419 0.750 0.000
0.419 0.750 0.500
0.581 0.250 0.000
0.581 0.250 0.500
0.845 0.591 0.750
0.845 0.909 0.250
0.366 0.019 0.587
0.366 0.019 0.913
0.366 0.481 0.087
0.366 0.481 0.413
0.634 0.519 0.587
0.634 0.519 0.913
0.634 0.981 0.087
0.634 0.981 0.413
```

Properties
Space-group type: Pbcm, No. 57
Calculated formation energy: -94 kJ/mol of atoms

---

No. 4
Here is TmThNiIr after structural relaxation from Alexandria. Energies are from PBE.

```
TmThNiIr
1.0
4.398 0.000 0.000
0.000 3.749 0.000
0.000 0.000 10.331
Tm Th Ni Ir
2 2 2 2
direct
0.000 0.000 0.000
0.000 0.500 0.500
0.500 0.000 0.277
0.500 0.500 0.777
0.000 0.000 0.721
0.000 0.500 0.221
0.500 0.000 0.554
0.500 0.500 0.054
```

Properties
Space-group type: Amm2, No. 38
Calculated formation energy: -70 kJ/mol of atoms

---

No. 5
Here is Ce2TaH after structural relaxation from Alexandria. Energies are from PBE.

```
Ce2TaH
1.0
3.061 0.000 0.000
-1.530 2.650 0.000
0.000 0.000 27.204
Ce Ta H
6 3 3
direct
0.000 0.000 0.105
0.000 0.000 0.895
0.333 0.667 0.562
0.333 0.667 0.771
0.667 0.333 0.229
0.667 0.333 0.438
0.000 0.000 0.000
0.333 0.667 0.667
0.667 0.333 0.333
0.000 0.000 0.500
0.333 0.667 0.167
0.667 0.333 0.833
```

Properties
Space-group type: R-3m, No. 166
Calculated total energy: -78.58 eV/cell

---

No. 6
Here is Tc2HgPb after structural relaxation from Alexandria. Energies are from PBE.

```
Tc2HgPb
1.0
3.140 0.000 0.000
0.000 4.689 0.000
0.000 0.000 5.144
Tc Hg Pb
2 1 1
direct
0.000 0.000 0.000
0.500 0.000 0.500
0.000 0.500 0.500
0.500 0.500 0.000
```

Properties
Space-group type: Pmmm, No. 47
Calculated formation energy: 83 kJ/mol of atoms